# 1
LiY2Ir: single point on PBEsol structure, SCAN.

Calculated values
Total magnetization (μB per formula unit): 0.002
Energy relative to the elements (eV per atom): -0.222

Cell: 3.3199 4.4117 5.8735 Å, 90.00 90.00 90.00°
With the nearest neighbours (Å) after each atom.
Fractional positions:
1 Li 0.0000 0.0000 0.0000  1 Y 2.60
2 Y 0.0000 0.0000 0.5569  1 Li 2.60, 4 Ir 2.88
3 Y 0.5000 0.5000 0.2010  2 Ir 2.89-2.98, 4 Li 3.00
4 Ir 0.5000 0.5000 0.6937  6 Y 2.88-2.98


# 2
Cs3HfI: single point on PBEsol structure, SCAN.

Calculated values
Total magnetization (μB per formula unit): 4.006
ΔE_f (raw) (eV per atom): 0.4482

Cell: 7.0718 7.0718 7.0718 Å, 90.00 90.00 90.00°
With the nearest neighbours (Å) after each atom.
Fractional positions:
1 Cs 0.0000 0.0000 0.5000  2 I 3.54
2 Cs 0.0000 0.5000 0.0000  2 I 3.54
3 Cs 0.5000 0.0000 0.0000  2 I 3.54
4 Hf 0.5000 0.5000 0.5000  12 Cs 5.00
5 I 0.0000 0.0000 0.0000  6 Cs 3.54


# 3
SrMn: single point on PBEsol structure, SCAN.

Calculated values
Total magnetization (μB per formula unit): 4.449
Energy relative to the elements (eV per atom): 0.568

Cell: 3.8172 3.8172 4.8394 Å, 90.00 90.00 120.00°
With the nearest neighbours (Å) after each atom.
Fractional positions:
1 Sr 0.0000 0.0000 0.0000  6 Mn 3.27
2 Mn 0.6667 0.3333 0.5000  6 Sr 3.27


# 4
Zr2BSeCl: single point on PBEsol structure, SCAN.

Calculated values
Total magnetization (μB per formula unit): 0.000
ΔE_f (raw) (eV per atom): 0.3426

Cell: 4.7907 4.7907 3.6880 Å, 90.00 90.00 90.00°
With the nearest neighbours (Å) after each atom.
Fractional positions:
1 Zr 0.0000 0.5000 0.0000  2 Cl 2.40
2 Zr 0.5000 0.0000 0.0000  2 Cl 2.40
3 B 0.0000 0.0000 0.5000  2 Cl 1.84
4 Se 0.5000 0.5000 0.5000  8 Zr 3.02
5 Cl 0.0000 0.0000 0.0000  2 B 1.84


# 5
CdAgPb: single point on PBEsol structure, SCAN.

Calculated values
Total magnetization (μB per formula unit): 0.000
Energy relative to the elements (eV per atom): 0.062

Cell: 6.7386 6.7386 6.7386 Å, 152.15 152.15 39.80°
With the nearest neighbours (Å) after each atom.
Fractional positions:
1 Cd 0.0000 0.0000 0.0000  4 Ag 2.87
2 Ag 0.6367 0.6367 0.0000  4 Cd 2.87, 4 Pb 3.14
3 Pb 0.3058 0.3058 0.0000  4 Ag 3.14, 4 Pb 3.24, 4 Cd 3.36


# 6
InPWS2: single point on PBEsol structure, SCAN.

Calculated values
Total magnetization (μB per formula unit): 2.303
ΔE_f (raw) (eV per atom): 1.6104

Cell: 4.7993 4.7993 4.8388 Å, 90.00 90.00 90.00°
With the nearest neighbours (Å) after each atom.
Fractional positions:
1 In 0.0000 0.0000 0.0000  4 S 2.40, 2 P 2.42
2 P 0.0000 0.0000 0.5000  2 In 2.42
3 W 0.5000 0.5000 0.5000  4 P 3.39, 8 S 3.41
4 S 0.0000 0.5000 0.0000  2 In 2.40
5 S 0.5000 0.0000 0.0000  2 In 2.40


# 7
LiCu2: single point on PBEsol structure, SCAN.

Calculated values
Total magnetization (μB per formula unit): 0.000
Energy relative to the elements (eV per atom): 0.042

Cell: 4.1587 4.1587 2.4274 Å, 90.00 90.00 120.00°
With the nearest neighbours (Å) after each atom.
Fractional positions:
1 Li 0.0000 0.0000 0.0000  2 Li 2.43, 12 Cu 2.69
2 Cu 0.3333 0.6667 0.5000  5 Cu 2.40-2.43
3 Cu 0.6667 0.3333 0.5000  5 Cu 2.40-2.43


# 8
Na3VP2O9: single point on PBEsol structure, SCAN.

Calculated values
Total magnetization (μB per formula unit): 0.000
Excess energy over the best structure of this formula in the dataset (meV/atom): 13
ΔE_f (raw) (eV per atom): -2.4437

Cell: 8.6077 8.6077 7.3898 Å, 93.29 93.29 47.13°
With the nearest neighbours (Å) after each atom.
Fractional positions:
1 Na 0.0000 0.5000 0.5000  6 O 2.31-2.48
2 Na 0.2237 0.7763 0.0000  6 O 2.30-2.54
3 Na 0.3932 0.3932 0.3039  2 O 2.20-2.27
4 Na 0.5000 0.0000 0.5000  6 O 2.31-2.48
5 Na 0.6068 0.6068 0.6961  2 O 2.20-2.27
6 Na 0.7763 0.2237 0.0000  6 O 2.30-2.54
7 V 0.0000 0.5000 0.0000  6 O 1.81-1.91
8 V 0.5000 0.0000 0.0000  6 O 1.81-1.91
9 P 0.1311 0.1311 0.7128  4 O 1.50-1.61
10 P 0.3821 0.3821 0.7759  4 O 1.51-1.58
11 P 0.6179 0.6179 0.2241  4 O 1.51-1.58
12 P 0.8689 0.8689 0.2872  4 O 1.50-1.61
13 O 0.0043 0.6296 0.2112  1 P 1.61
14 O 0.0466 0.0466 0.7966  1 P 1.50
15 O 0.1392 0.1392 0.5116  1 P 1.50
16 O 0.1682 0.5327 0.8839  1 P 1.58
17 O 0.2434 0.2434 0.0735  2 V 1.81
18 O 0.3419 0.3419 0.5835  1 P 1.52
19 O 0.3704 0.9957 0.7888  1 P 1.61
20 O 0.4673 0.8318 0.1161  1 P 1.58
21 O 0.4782 0.4782 0.7944  1 P 1.51
22 O 0.5218 0.5218 0.2056  1 P 1.51
23 O 0.5327 0.1682 0.8839  1 P 1.58
24 O 0.6296 0.0043 0.2112  1 P 1.61
25 O 0.6581 0.6581 0.4165  1 P 1.52
26 O 0.7566 0.7566 0.9265  2 V 1.81
27 O 0.8318 0.4673 0.1161  1 P 1.58
28 O 0.8608 0.8608 0.4884  1 P 1.50
29 O 0.9534 0.9534 0.2034  1 P 1.50
30 O 0.9957 0.3704 0.7888  1 P 1.61


# 9
Na2H6Ir: single point on PBEsol structure, SCAN.

Calculated values
Total magnetization (μB per formula unit): 1.027

Cell: 4.9981 4.9981 4.9981 Å, 60.00 60.00 60.00°
With the nearest neighbours (Å) after each atom.
Fractional positions:
1 Na 0.2500 0.2500 0.2500  12 H 2.50
2 Na 0.7500 0.7500 0.7500  12 H 2.50
3 H 0.2378 0.2378 0.7622  1 Ir 1.68
4 H 0.2378 0.7622 0.2378  1 Ir 1.68
5 H 0.2378 0.7622 0.7622  1 Ir 1.68
6 H 0.7622 0.2378 0.2378  1 Ir 1.68
7 H 0.7622 0.2378 0.7622  1 Ir 1.68
8 H 0.7622 0.7622 0.2378  1 Ir 1.68
9 Ir 0.0000 0.0000 0.0000  6 H 1.68


# 10
MgGeB2: single point on PBEsol structure, SCAN.

Calculated values
Total magnetization (μB per formula unit): 0.000
Energy relative to the elements (eV per atom): 1.165

Cell: 4.0776 4.0776 4.0776 Å, 60.00 60.00 60.00°
With the nearest neighbours (Å) after each atom.
Fractional positions:
1 Mg 0.0000 0.0000 0.0000  8 B 2.50
2 Ge 0.5000 0.5000 0.5000  8 B 2.50
3 B 0.2500 0.2500 0.2500  4 Ge 2.50, 4 Mg 2.50
4 B 0.7500 0.7500 0.7500  4 Ge 2.50, 4 Mg 2.50


# 11
InSiOs2: single point on PBEsol structure, SCAN.

Calculated values
Total magnetization (μB per formula unit): 0.000
Excess energy over the best structure of this formula in the dataset (meV/atom): 46
ΔE_f (raw) (eV per atom): 0.2553

Cell: 4.3490 4.3490 4.3490 Å, 60.00 60.00 60.00°
With the nearest neighbours (Å) after each atom.
Fractional positions:
1 In 0.0000 0.0000 0.0000  8 Os 2.66
2 Si 0.5000 0.5000 0.5000  8 Os 2.66
3 Os 0.2500 0.2500 0.2500  4 In 2.66, 4 Si 2.66
4 Os 0.7500 0.7500 0.7500  4 Si 2.66, 4 In 2.66


# 12
In2CuSi: single point on PBEsol structure, SCAN.

Calculated values
Total magnetization (μB per formula unit): 0.000
ΔE_f (raw) (eV per atom): 0.4423

Cell: 3.9119 4.2286 4.5265 Å, 90.00 90.00 90.00°
With the nearest neighbours (Å) after each atom.
Fractional positions:
1 In 0.0000 0.0000 0.0000  4 Si 2.88, 4 Cu 2.99, 4 In 3.10
2 In 0.0000 0.5000 0.5000  4 Cu 2.88, 4 Si 2.99, 4 In 3.10
3 Cu 0.5000 0.0000 0.5000  8 In 2.88-2.99, 4 Si 3.10
4 Si 0.5000 0.5000 0.0000  8 In 2.88-2.99, 4 Cu 3.10


Calculated E, -32.516, -42.121, -19.697, -19.034, -45.792, -24.935, -10.888, -9.578, -11.309, -8.565, -46.535, -22.555 eV per atom (same order as the records).